A geometry-optimized Fe3B7BrO13 structure, computed with PBE with a Hubbard U.

Output
- calculated total energy (eV/atom) = -7.54
- SG = F-43c
- M_tot (μB/cell) = 24.03

abc: 8.694 8.694 8.694
angles: 60.00 60.00 60.00
Element x y z (fractional)
Fe1 0.250 0.250 0.750
Fe2 0.250 0.750 0.250
Fe3 0.250 0.750 0.750
Fe4 0.750 0.250 0.250
Fe5 0.750 0.250 0.750
Fe6 0.750 0.750 0.250
B1 0.000 0.000 0.500
B2 0.000 0.500 0.000
B3 0.000 0.500 0.500
B4 0.010 0.330 0.330
B5 0.330 0.010 0.330
B6 0.330 0.330 0.010
B7 0.330 0.330 0.330
B8 0.500 0.000 0.000
B9 0.500 0.000 0.500
B10 0.500 0.500 0.000
B11 0.510 0.830 0.830
B12 0.830 0.510 0.830
B13 0.830 0.830 0.510
B14 0.830 0.830 0.830
Br1 0.000 0.000 0.000
Br2 0.500 0.500 0.500
O1 0.004 0.452 0.857
O2 0.004 0.687 0.452
O3 0.004 0.857 0.687
O4 0.187 0.357 0.504
O5 0.187 0.504 0.952
O6 0.187 0.952 0.357
O7 0.250 0.250 0.250
O8 0.357 0.187 0.952
O9 0.357 0.504 0.187
O10 0.357 0.952 0.504
O11 0.452 0.004 0.687
O12 0.452 0.687 0.857
O13 0.452 0.857 0.004
O14 0.504 0.187 0.357
O15 0.504 0.357 0.952
O16 0.504 0.952 0.187
O17 0.687 0.004 0.857
O18 0.687 0.452 0.004
O19 0.687 0.857 0.452
O20 0.750 0.750 0.750
O21 0.857 0.004 0.452
O22 0.857 0.452 0.687
O23 0.857 0.687 0.004
O24 0.952 0.187 0.504
O25 0.952 0.357 0.187
O26 0.952 0.504 0.357